[1]
## CuTcGeO6 (PBE)

Data for a relaxed CuTcGeO6 crystal.

Properties
Symmetry ... P-31c
Uncorrected energy ... -6.533 eV/atom

Unit cell a=5.018 b=5.018 c=8.904 alpha=90.00 beta=90.00 gamma=120.00
Positions (direct):
Cu (0.000, 0.000, 0.000)
Cu (0.000, 0.000, 0.500)
Tc (0.333, 0.667, 0.250)
Tc (0.667, 0.333, 0.750)
Ge (0.333, 0.667, 0.750)
Ge (0.667, 0.333, 0.250)
O (0.001, 0.359, 0.633)
O (0.001, 0.642, 0.867)
O (0.358, 0.359, 0.867)
O (0.358, 0.999, 0.633)
O (0.359, 0.001, 0.133)
O (0.359, 0.358, 0.367)
O (0.641, 0.642, 0.633)
O (0.641, 0.999, 0.867)
O (0.642, 0.001, 0.367)
O (0.642, 0.641, 0.133)
O (0.999, 0.358, 0.133)
O (0.999, 0.641, 0.367)



[2]
## Ac7Pm4Ho (PBE)

Data for a relaxed Ac7Pm4Ho crystal.

Properties
Energy of formation from the pure elements ... 0.043 eV per atom
Symmetry ... P-1

Unit cell a=6.708 b=7.709 c=9.585 alpha=89.55 beta=76.71 gamma=89.86
Positions (direct):
Ac (0.000, 0.000, 0.000)
Ac (0.221, 0.500, 0.333)
Ac (0.281, 0.754, 0.665)
Ac (0.496, 0.250, 0.995)
Ac (0.504, 0.750, 0.005)
Ac (0.719, 0.246, 0.335)
Ac (0.779, 0.500, 0.667)
Pm (0.221, 0.001, 0.336)
Pm (0.273, 0.249, 0.670)
Pm (0.727, 0.751, 0.330)
Pm (0.779, 0.999, 0.664)
Ho (0.000, 0.500, 0.000)



[3]
## SmZrAl2 (PBE)

Data for a relaxed SmZrAl2 crystal.

Properties
Energy of formation from the pure elements ... -0.343 eV per atom
Symmetry ... P4/mmm

Unit cell a=3.653 b=3.653 c=6.629 alpha=90.00 beta=90.00 gamma=90.00
Positions (direct):
Sm (0.000, 0.000, 0.000)
Zr (0.000, 0.000, 0.500)
Al (0.500, 0.500, 0.290)
Al (0.500, 0.500, 0.710)



[4]
## PmTc3P3 (PBE)

Data for a relaxed PmTc3P3 crystal.

Properties
Energy of formation from the pure elements ... -0.313 eV per atom
Symmetry ... Pm-3n

Unit cell a=6.455 b=6.455 c=6.455 alpha=90.00 beta=90.00 gamma=90.00
Positions (direct):
Pm (0.000, 0.000, 0.000)
Pm (0.500, 0.500, 0.500)
Tc (0.000, 0.250, 0.500)
Tc (0.000, 0.750, 0.500)
Tc (0.250, 0.500, 0.000)
Tc (0.500, 0.000, 0.250)
Tc (0.500, 0.000, 0.750)
Tc (0.750, 0.500, 0.000)
P (0.000, 0.500, 0.250)
P (0.000, 0.500, 0.750)
P (0.250, 0.000, 0.500)
P (0.500, 0.250, 0.000)
P (0.500, 0.750, 0.000)
P (0.750, 0.000, 0.500)



[5]
## DyTiO4 (PBE)

Data for a relaxed DyTiO4 crystal.

Properties
Symmetry ... C2/c
Uncorrected energy ... -8.302 eV/atom

Unit cell a=6.621 b=6.621 c=5.188 alpha=113.01 beta=113.01 gamma=112.70
Positions (direct):
Dy (0.125, 0.875, 0.750)
Dy (0.875, 0.125, 0.250)
Ti (0.376, 0.624, 0.250)
Ti (0.624, 0.376, 0.750)
O (0.119, 0.545, 0.335)
O (0.210, 0.284, 0.828)
O (0.284, 0.210, 0.328)
O (0.455, 0.881, 0.165)
O (0.545, 0.119, 0.835)
O (0.716, 0.790, 0.672)
O (0.790, 0.716, 0.172)
O (0.881, 0.455, 0.665)



[6]
## Zr2SiSe2 (PBE)

Data for a relaxed Zr2SiSe2 crystal.

Properties
Symmetry ... P4/mbm
Uncorrected energy ... -6.466 eV/atom

Unit cell a=7.694 b=7.694 c=3.327 alpha=90.00 beta=90.00 gamma=90.00
Positions (direct):
Zr (0.159, 0.341, 0.000)
Zr (0.341, 0.841, 0.000)
Zr (0.659, 0.159, 0.000)
Zr (0.841, 0.659, 0.000)
Si (0.000, 0.000, 0.500)
Si (0.500, 0.500, 0.500)
Se (0.137, 0.637, 0.500)
Se (0.363, 0.137, 0.500)
Se (0.637, 0.863, 0.500)
Se (0.863, 0.363, 0.500)



[7]
## Li2SmHg (PBE)

Data for a relaxed Li2SmHg crystal.

Properties
Energy of formation from the pure elements ... -0.233 eV per atom
Symmetry ... Pmmn

Unit cell a=4.755 b=5.693 c=6.837 alpha=90.00 beta=90.00 gamma=90.00
Positions (direct):
Li (0.250, 0.009, 0.107)
Li (0.250, 0.491, 0.107)
Li (0.750, 0.509, 0.893)
Li (0.750, 0.991, 0.893)
Sm (0.250, 0.250, 0.570)
Sm (0.750, 0.750, 0.430)
Hg (0.250, 0.750, 0.753)
Hg (0.750, 0.250, 0.247)



[8]
## CaMg5Cd2 (PBE)

Data for a relaxed CaMg5Cd2 crystal.

Properties
Energy of formation from the pure elements ... -0.096 eV per atom
Symmetry ... Immm

Unit cell a=7.232 b=7.232 c=7.232 alpha=144.92 beta=105.99 gamma=84.62
Positions (direct):
Ca (0.000, 0.000, 0.000)
Mg (0.163, 0.349, 0.814)
Mg (0.466, 0.651, 0.814)
Mg (0.500, 0.000, 0.500)
Mg (0.534, 0.349, 0.186)
Mg (0.837, 0.651, 0.186)
Cd (0.229, 0.729, 0.500)
Cd (0.771, 0.271, 0.500)



no.,theoretical density (g cm⁻³)
1,5.65
2,8.03
3,5.55
4,6.57
5,6.13
6,6.21
7,6.55
8,3.16